Here is a relaxed LiLaDyS3 crystal from the Alexandria database. Energies are from PBE-GGA.

a = 3.9085 Å, b = 8.1813 Å, c = 8.5462 Å
α = 103.21°, β = 90.00°, γ = 90.00°
Fractional coordinates of all 12 atoms:
Li  0.2500  0.0881  0.5853
Li  0.7500  0.9119  0.4147
La  0.2500  0.1870  0.2233
La  0.7500  0.8130  0.7767
Dy  0.2500  0.6644  0.1628
Dy  0.7500  0.3356  0.8372
S  0.7500  0.8988  0.1351
S  0.2500  0.1012  0.8649
S  0.2500  0.7874  0.4967
S  0.7500  0.2126  0.5033
S  0.7500  0.4329  0.1708
S  0.2500  0.5671  0.8292

## Properties
Its volume is 266.0 Å³/cell. As for the raw total energy: -5.86 eV per atom. As for the total magnetization: 0.0000 μB/atom.